# U2NO PBE-GGA relaxed
# Total DFT energy (no corrections) in eV per cell: -85.074
# Energy above the lowest structure with this stoichiometry in meV/atom: 0
# Crystal system: hexagonal
data_U2NO
_chemical_formula_sum 'U4 N2 O2'
_space_group_name_H-M_alt 'P 63/m m c'
_space_group_IT_number 194
_space_group_name_Hall '-P 6c 2c'
_cell_length_a 3.3472
_cell_length_b 3.3472
_cell_length_c 12.0378
_cell_angle_alpha 90.00
_cell_angle_beta 90.00
_cell_angle_gamma 120.00
loop_
_atom_site_label
_atom_site_fract_x
_atom_site_fract_y
_atom_site_fract_z
U1 0.3333 0.6667 0.1175
N1 0.0000 0.0000 0.0000
O1 0.3333 0.6667 0.7500